## KCd3As (PBE)

Data for an optimized crystal structure of KCd3As.

Cell: 5.522 5.522 5.522 Å, 90.00 90.00 90.00°
Sites, in units of the cell vectors:
K: 0.000 0.000 0.000
Cd: 0.000 0.500 0.500
Cd: 0.500 0.000 0.500
Cd: 0.500 0.500 0.000
As: 0.500 0.500 0.500

## Properties
Crystal system   cubic
Energy above the most stable polymorph in this dataset   0.00 eV/f.u.

---

## InSiAs (PBE)

Data for an optimized crystal structure of InSiAs.

Cell: 11.912 3.425 3.462 Å, 90.00 106.63 90.00°
Sites, in units of the cell vectors:
In: 0.000 0.000 0.000
In: 0.500 0.500 0.000
Si: 0.209 0.000 0.706
Si: 0.709 0.500 0.706
As: 0.279 0.500 0.277
As: 0.779 0.000 0.277

## Properties
Uncorrected formation energy   230 meV per atom
Crystal system   monoclinic
Energy above the most stable polymorph in this dataset   0.88 eV/f.u.

---

## Ho5ZrCd4 (PBE)

Data for an optimized crystal structure of Ho5ZrCd4.

Cell: 3.576 3.576 20.451 Å, 90.00 90.00 90.00°
Sites, in units of the cell vectors:
Ho: 0.000 0.000 0.000
Ho: 0.000 0.000 0.193
Ho: 0.000 0.000 0.394
Ho: 0.000 0.000 0.606
Ho: 0.000 0.000 0.807
Zr: 0.500 0.500 0.500
Cd: 0.500 0.500 0.096
Cd: 0.500 0.500 0.292
Cd: 0.500 0.500 0.708
Cd: 0.500 0.500 0.904

## Properties
Crystal system   tetragonal

---

## CaScRh4 (PBE)

Data for an optimized crystal structure of CaScRh4.

Cell: 5.273 5.273 5.273 Å, 60.00 60.00 60.00°
Sites, in units of the cell vectors:
Ca: 0.000 0.000 0.000
Sc: 0.250 0.250 0.250
Rh: 0.126 0.625 0.625
Rh: 0.625 0.126 0.625
Rh: 0.625 0.625 0.126
Rh: 0.625 0.625 0.625

## Properties
Crystal system   cubic

---

Quick rundown of E_tot, same order as above: -1.577 -4.041 -3.737 -6.839 eV per atom